Re2MoOs | PBE-GGA | optimized geometry

```
4
Lattice="-1.3863 4.5070 2.4053 1.3863 -4.5070 2.4053 1.3863 4.5070 -2.4053" Properties=species:S:1:pos:R:3 pbc="T T T"
Re 0.0000 2.1852 0.0000
Re 0.0000 6.8288 0.0000
Mo 0.0000 0.0000 3.1994
Os 1.3863 0.0000 0.7913
```

Calculated values
Space group: Imm2, No. 44
DFT formation energy (eV per atom): 0.01
Mass density (g/cm3): 18.19